First-principles (GGA-PBE) data for a relaxed structure of TlPdAu3, as listed in the Alexandria database.

Unit cell a=6.005 b=4.087 c=15.291 alpha=90.00 beta=90.00 gamma=90.00
Positions (direct):
Tl1 0.150 0.250 0.144
Tl2 0.350 0.750 0.644
Tl3 0.650 0.250 0.356
Tl4 0.850 0.750 0.856
Pd1 0.114 0.250 0.553
Pd2 0.386 0.750 0.053
Pd3 0.614 0.250 0.947
Pd4 0.886 0.750 0.447
Au1 0.095 0.250 0.751
Au2 0.136 0.250 0.954
Au3 0.145 0.250 0.356
Au4 0.355 0.750 0.856
Au5 0.364 0.750 0.454
Au6 0.405 0.750 0.251
Au7 0.595 0.250 0.749
Au8 0.636 0.250 0.546
Au9 0.645 0.250 0.144
Au10 0.855 0.750 0.644
Au11 0.864 0.750 0.046
Au12 0.905 0.750 0.249

Summary:
**Magnetization**: 0.00 μB/f.u.
**Energy of formation from the pure elements**: 0 meV/atom
**Space-group type**: Pnma, No. 62



First-principles (GGA-PBE) data for a relaxed structure of ScCuAg3, as listed in the Alexandria database.

Unit cell a=5.145 b=5.145 c=5.145 alpha=90.00 beta=90.00 gamma=90.00
Positions (direct):
Sc1 0.000 0.000 0.000
Cu1 0.500 0.500 0.500
Ag1 0.000 0.000 0.500
Ag2 0.000 0.500 0.000
Ag3 0.500 0.000 0.000

Summary:
**Magnetization**: 0.00 μB/f.u.
**Energy of formation from the pure elements**: 1171 meV/atom
**Space-group type**: Pm-3m, No. 221



First-principles (GGA-PBE) data for a relaxed structure of Tb4PmAg5, as listed in the Alexandria database.

Unit cell a=3.637 b=3.637 c=18.634 alpha=90.00 beta=90.00 gamma=90.00
Positions (direct):
Tb1 0.000 0.000 0.099
Tb2 0.000 0.000 0.297
Tb3 0.000 0.000 0.703
Tb4 0.000 0.000 0.901
Pm1 0.000 0.000 0.500
Ag1 0.500 0.500 0.000
Ag2 0.500 0.500 0.198
Ag3 0.500 0.500 0.394
Ag4 0.500 0.500 0.606
Ag5 0.500 0.500 0.802

Summary:
**Magnetization**: 0.00 μB/f.u.
**Energy of formation from the pure elements**: -309 meV/atom
**Space-group type**: P4/mmm, No. 123